Entry 1:
ZrSc3O (GGA-PBE, relaxed); uncorrected formation energy = -1.17 eV/atom; Fermi-level density of states = 6.24 states/eV/f.u.; ΔE to the lowest computed polymorph = 0 meV/atom
1.0
5.169 -3.250 0.000
5.169 3.250 0.000
-0.007 0.000 5.727
Zr Sc O
2 6 2
Direct
0.000 0.000 0.000
0.749 0.749 0.304
0.001 0.497 0.814
0.246 0.752 0.511
0.247 0.247 0.349
0.493 0.493 0.987
0.497 0.001 0.814
0.752 0.246 0.511
0.119 0.119 0.659
0.379 0.379 0.658


Entry 2:
ZrSc3O (GGA-PBE, relaxed); uncorrected formation energy = 1.06 eV/atom; Fermi-level density of states = 3.25 states/eV/f.u.; ΔE to the lowest computed polymorph = 2222 meV/atom
1.0
5.110 0.000 0.000
0.000 5.110 0.000
0.000 0.000 5.110
Zr Sc O
1 3 1
Direct
0.000 0.000 0.000
0.000 0.000 0.500
0.000 0.500 0.000
0.500 0.000 0.000
0.500 0.500 0.500


Entry 3:
Zr2Sc6O (GGA-PBE, relaxed); uncorrected formation energy = -0.62 eV/atom; Fermi-level density of states = 13.19 states/eV/f.u.
1.0
5.900 -1.605 0.000
5.900 1.605 0.000
-0.463 0.000 10.150
Zr Sc O
2 6 1
Direct
0.173 0.173 0.134
0.827 0.827 0.866
0.174 0.174 0.629
0.434 0.434 0.118
0.437 0.437 0.624
0.563 0.563 0.376
0.566 0.566 0.882
0.826 0.826 0.371
0.000 0.000 0.500


Entry 4:
ZrSc3O (GGA-PBE, relaxed); uncorrected formation energy = -1.11 eV/atom; Fermi-level density of states = 7.46 states/eV/f.u.; ΔE to the lowest computed polymorph = 55 meV/atom
1.0
4.531 0.000 0.000
0.000 4.531 0.000
0.000 0.000 4.531
Zr Sc O
1 3 1
Direct
0.000 0.000 0.000
0.000 0.500 0.500
0.500 0.000 0.500
0.500 0.500 0.000
0.500 0.500 0.500


Entry 5:
ZrScO (GGA-PBE, relaxed); uncorrected formation energy = -1.82 eV/atom; Fermi-level density of states = 2.43 states/eV/f.u.; ΔE to the lowest computed polymorph = 0 meV/atom
1.0
3.269 0.000 0.000
0.001 5.707 0.000
1.629 2.839 5.167
Zr Sc O
2 2 2
Direct
0.127 0.301 0.247
0.873 0.699 0.753
0.373 0.207 0.754
0.627 0.793 0.246
0.249 0.771 0.001
0.751 0.229 0.999


Entry 6:
Zr3Sc4O12 (GGA-PBE, relaxed); uncorrected formation energy = -3.43 eV/atom; Fermi-level density of states = 0.00 states/eV/f.u.
1.0
6.229 0.000 0.000
-1.066 6.173 0.000
-2.014 -2.386 11.957
Zr Sc O
6 8 24
Direct
0.007 0.004 0.249
0.139 0.613 0.905
0.315 0.141 0.557
0.685 0.859 0.443
0.861 0.387 0.095
0.993 0.996 0.751
0.137 0.605 0.407
0.324 0.142 0.054
0.393 0.681 0.178
0.396 0.675 0.681
0.604 0.325 0.319
0.607 0.319 0.822
0.676 0.858 0.946
0.863 0.395 0.593
0.062 0.684 0.200
0.065 0.673 0.711
0.087 0.938 0.412
0.098 0.942 0.912
0.178 0.417 0.036
0.178 0.418 0.536
0.320 0.097 0.720
0.324 0.106 0.221
0.416 0.819 0.039
0.419 0.570 0.841
0.421 0.583 0.341
0.425 0.823 0.541
0.575 0.177 0.459
0.579 0.417 0.659
0.581 0.430 0.159
0.584 0.181 0.961
0.676 0.894 0.779
0.680 0.903 0.280
0.822 0.582 0.464
0.822 0.583 0.964
0.902 0.058 0.088
0.913 0.062 0.588
0.935 0.327 0.289
0.938 0.316 0.800


Entry 7:
SeO (GGA-PBE, relaxed); uncorrected formation energy = -0.07 eV/atom; Fermi-level density of states = 0.40 states/eV/f.u.; ΔE to the lowest computed polymorph = 303 meV/atom
1.0
2.995 0.000 0.000
0.000 2.995 0.000
-0.018 0.000 9.167
Se O
2 2
Direct
0.249 0.250 0.337
0.751 0.750 0.663
0.248 0.250 0.157
0.752 0.750 0.843


Entry 8:
SeO (GGA-PBE, relaxed); uncorrected formation energy = -0.11 eV/atom; Fermi-level density of states = 1.01 states/eV/f.u.; ΔE to the lowest computed polymorph = 259 meV/atom
1.0
10.953 0.000 0.000
0.000 10.953 0.000
0.000 0.000 2.795
Se O
8 8
Direct
0.055 0.250 0.000
0.250 0.555 0.500
0.250 0.945 0.000
0.445 0.250 0.500
0.555 0.750 0.500
0.750 0.055 0.000
0.750 0.445 0.500
0.945 0.750 0.000
0.099 0.759 0.000
0.241 0.099 0.000
0.259 0.401 0.500
0.401 0.741 0.500
0.599 0.259 0.500
0.741 0.599 0.500
0.759 0.901 0.000
0.901 0.241 0.000


Entry 9:
SeO (GGA-PBE, relaxed); uncorrected formation energy = -0.12 eV/atom; Fermi-level density of states = 0.79 states/eV/f.u.; ΔE to the lowest computed polymorph = 253 meV/atom
1.0
10.698 0.000 0.000
-5.349 9.265 0.000
0.000 0.000 2.765
Se O
6 6
Direct
0.150 0.722 0.250
0.278 0.428 0.250
0.428 0.150 0.750
0.572 0.850 0.250
0.722 0.572 0.750
0.850 0.278 0.750
0.137 0.457 0.250
0.321 0.863 0.250
0.457 0.321 0.750
0.543 0.679 0.250
0.679 0.137 0.750
0.863 0.543 0.750


Entry 10:
SeO (GGA-PBE, relaxed); uncorrected formation energy = -0.25 eV/atom; Fermi-level density of states = 0.44 states/eV/f.u.; ΔE to the lowest computed polymorph = 116 meV/atom
1.0
4.114 0.000 0.000
0.000 4.127 0.000
-2.043 0.000 4.002
Se O
2 2
Direct
0.000 0.000 0.000
0.500 0.500 0.000
0.293 0.500 0.582
0.793 0.000 0.582


Entry 11:
SeO (GGA-PBE, relaxed); uncorrected formation energy = -0.31 eV/atom; Fermi-level density of states = 0.02 states/eV/f.u.; ΔE to the lowest computed polymorph = 55 meV/atom
1.0
3.667 0.000 0.000
1.740 4.416 0.000
0.008 1.432 4.560
Se O
2 2
Direct
0.216 0.072 0.291
0.784 0.928 0.709
0.372 0.744 0.180
0.628 0.256 0.820


Entry 12:
Se4O (GGA-PBE, relaxed); uncorrected formation energy = 0.68 eV/atom; Fermi-level density of states = 4.08 states/eV/f.u.
1.0
4.542 0.000 0.000
0.000 4.542 0.000
0.000 0.000 4.542
Se O
4 1
Direct
0.000 0.000 0.000
0.000 0.500 0.500
0.500 0.000 0.500
0.500 0.500 0.000
0.500 0.500 0.500


Entry 13:
SeO2 (GGA-PBE, relaxed); uncorrected formation energy = -0.69 eV/atom; Fermi-level density of states = 0.00 states/eV/f.u.
1.0
8.700 0.000 0.000
0.000 8.711 0.000
0.000 0.000 5.205
Se O
8 16
Direct
0.133 0.213 0.000
0.213 0.867 0.500
0.287 0.367 0.500
0.367 0.713 0.000
0.633 0.287 0.000
0.713 0.633 0.500
0.787 0.133 0.500
0.867 0.787 0.000
0.054 0.820 0.000
0.138 0.362 0.250
0.138 0.362 0.750
0.180 0.054 0.500
0.320 0.554 0.500
0.362 0.862 0.250
0.362 0.862 0.750
0.446 0.320 0.000
0.554 0.680 0.000
0.638 0.138 0.250
0.638 0.138 0.750
0.680 0.446 0.500
0.820 0.946 0.500
0.862 0.638 0.250
0.862 0.638 0.750
0.946 0.180 0.000


Entry 14:
SeO (GGA-PBE, relaxed); uncorrected formation energy = -0.28 eV/atom; Fermi-level density of states = 0.45 states/eV/f.u.; ΔE to the lowest computed polymorph = 86 meV/atom
1.0
9.850 0.000 0.000
0.000 9.850 0.000
0.000 0.000 3.277
Se O
8 8
Direct
0.046 0.166 0.000
0.166 0.954 0.000
0.240 0.574 0.500
0.426 0.240 0.500
0.574 0.760 0.500
0.760 0.426 0.500
0.834 0.046 0.000
0.954 0.834 0.000
0.167 0.424 0.500
0.171 0.657 0.000
0.343 0.171 0.000
0.424 0.833 0.500
0.576 0.167 0.500
0.657 0.829 0.000
0.829 0.343 0.000
0.833 0.576 0.500


Entry 15:
SeO (GGA-PBE, relaxed); uncorrected formation energy = -0.37 eV/atom; ΔE to the lowest computed polymorph = 0 meV/atom
1.0
8.078 0.000 0.000
0.000 3.698 0.000
-1.455 0.000 5.066
Se O
4 4
Direct
0.000 0.000 0.000
0.095 0.500 0.362
0.500 0.500 0.000
0.595 0.000 0.362
0.290 0.500 0.985
0.414 0.000 0.460
0.790 0.000 0.985
0.914 0.500 0.460


Entry 16:
SeO (GGA-PBE, relaxed); uncorrected formation energy = -0.31 eV/atom; Fermi-level density of states = 0.09 states/eV/f.u.; ΔE to the lowest computed polymorph = 60 meV/atom
1.0
5.595 0.000 0.000
0.000 7.984 0.000
0.000 0.000 6.138
Se O
8 8
Direct
0.000 0.083 0.187
0.000 0.417 0.687
0.000 0.583 0.313
0.000 0.917 0.813
0.500 0.083 0.313
0.500 0.417 0.813
0.500 0.583 0.187
0.500 0.917 0.687
0.000 0.215 0.612
0.000 0.285 0.112
0.000 0.715 0.888
0.000 0.785 0.388
0.500 0.215 0.888
0.500 0.285 0.388
0.500 0.715 0.612
0.500 0.785 0.112


Entry 17:
SeO2 (GGA-PBE, relaxed); uncorrected formation energy = -0.68 eV/atom; Fermi-level density of states = 0.00 states/eV/f.u.
1.0
5.223 0.000 0.000
0.000 4.577 0.000
0.000 0.000 16.762
Se O
8 16
Direct
0.000 0.053 0.000
0.000 0.410 0.747
0.000 0.590 0.247
0.000 0.947 0.500
0.500 0.226 0.181
0.500 0.413 0.933
0.500 0.587 0.433
0.500 0.774 0.681
0.000 0.054 0.735
0.000 0.304 0.491
0.000 0.696 0.991
0.000 0.946 0.235
0.249 0.133 0.925
0.249 0.867 0.425
0.251 0.493 0.674
0.251 0.507 0.174
0.500 0.120 0.087
0.500 0.488 0.339
0.500 0.512 0.839
0.500 0.880 0.587
0.749 0.493 0.674
0.749 0.507 0.174
0.751 0.133 0.925
0.751 0.867 0.425


Entry 18:
SeO3 (GGA-PBE, relaxed); uncorrected formation energy = -0.34 eV/atom; Fermi-level density of states = 0.00 states/eV/f.u.
1.0
4.564 0.000 0.000
0.000 6.328 0.000
0.000 0.000 10.020
Se O
4 12
Direct
0.239 0.133 0.412
0.261 0.867 0.912
0.739 0.367 0.588
0.761 0.633 0.088
0.010 0.645 0.945
0.073 0.211 0.278
0.092 0.088 0.933
0.408 0.912 0.433
0.427 0.789 0.778
0.490 0.355 0.445
0.510 0.855 0.055
0.573 0.289 0.722
0.592 0.412 0.067
0.908 0.588 0.567
0.927 0.711 0.222
0.990 0.145 0.555


Entry 19:
SeO4 (GGA-PBE, relaxed); uncorrected formation energy = 0.70 eV/atom; Fermi-level density of states = 3.35 states/eV/f.u.; ΔE to the lowest computed polymorph = 549 meV/atom
1.0
3.784 0.000 0.000
0.000 3.784 0.000
0.000 0.000 3.784
Se O
1 4
Direct
0.000 0.000 0.000
0.000 0.000 0.500
0.000 0.500 0.000
0.500 0.000 0.000
0.500 0.500 0.500